A plane-wave DFT calculation with PBE-GGA was carried out for an optimized crystal structure of LuBe2Zn.

Summary:
* magnetization: 0.00 μB per cell
* DFT total energy: -3.2390 eV per atom

The structure in CIF format:
```
data_LuBe2Zn
_symmetry_space_group_name_H-M 'F -4 3 m'
_symmetry_Int_Tables_number 216
_symmetry_space_group_name_Hall 'F -4 2 3'
_cell_length_a 6.1394
_cell_length_b 6.1394
_cell_length_c 6.1394
_cell_angle_alpha 90.00
_cell_angle_beta 90.00
_cell_angle_gamma 90.00
loop_
_atom_site_label
_atom_site_type_symbol
_atom_site_fract_x
_atom_site_fract_y
_atom_site_fract_z
_atom_site_occupancy
Lu1 Lu 0.0000 0.0000 0.0000 1
Be1 Be 0.0000 0.0000 0.5000 1
Be2 Be 0.2500 0.2500 0.2500 1
Zn1 Zn 0.2500 0.2500 0.7500 1
```